Record 1
VASP calculation (GGA-PBE) on Ca3ThAl8 after structural relaxation.

abc: 5.6870 5.6870 9.1964
angles: 90.00 90.00 120.00
Closest atoms and distances in Å follow each position.
Element x y z (fractional)
Al (0.5042, 0.0084, 0.7478)  6 Al 2.77-2.91
Al (0.6760, 0.8380, 0.2517)  6 Al 2.76-2.92
Al (0.3333, 0.6667, 0.0048)  6 Al 2.83-2.90
Al (0.1620, 0.3240, 0.2517)  6 Al 2.76-2.92
Ca (0.6667, 0.3333, 0.0648)  12 Al 3.32-3.33, 4 Ca 3.36-3.49
Ca (0.6667, 0.3333, 0.4300)  12 Al 3.28-3.34, 1 Ca 3.36, 3 Th 3.52
Ca (0.0000, 0.0000, 0.9365)  12 Al 3.31-3.34, 1 Th 3.40, 3 Ca 3.49
Al (0.1620, 0.8380, 0.2517)  6 Al 2.76-2.92
Al (0.3333, 0.6667, 0.4982)  6 Al 2.83-2.85
Al (0.5042, 0.4958, 0.7478)  6 Al 2.77-2.91
Al (0.9916, 0.4958, 0.7478)  6 Al 2.77-2.91
Th (0.0000, 0.0000, 0.5673)  12 Al 3.29-3.34, 4 Ca 3.40-3.52

Output
* ΔH_f (0 K): -384 kJ/mol of formula units
* M_tot: 0.00 μB/atom
* ΔE to the lowest computed polymorph: 1.06 kJ per mole of atoms

***

Record 2
VASP calculation (GGA-PBE) on Ca3ThAl8 after structural relaxation.

abc: 5.6589 5.6589 9.8480
angles: 73.30 73.30 60.00
Closest atoms and distances in Å follow each position.
Element x y z (fractional)
Al (0.9368, 0.4406, 0.6858)  6 Al 2.81-2.85
Al (0.9351, 0.4378, 0.1893)  6 Al 2.81-2.86
Al (0.4378, 0.9351, 0.1893)  6 Al 2.81-2.86
Al (0.1871, 0.1871, 0.4387)  6 Al 2.82-2.84
Al (0.6881, 0.6881, 0.9357)  6 Al 2.83-2.86
Al (0.4406, 0.9368, 0.6858)  6 Al 2.81-2.85
Ca (0.3752, 0.3752, 0.8745)  12 Al 3.32-3.35, 4 Ca 3.46
Ca (0.0008, 0.0008, 0.9976)  12 Al 3.32-3.34, 3 Ca 3.46, 1 Th 3.51
Th (0.8748, 0.8748, 0.3755)  12 Al 3.31-3.32, 4 Ca 3.47-3.51
Ca (0.4992, 0.4992, 0.5025)  12 Al 3.30-3.33, 1 Ca 3.46, 3 Th 3.47
Al (0.9368, 0.9368, 0.6858)  6 Al 2.81-2.85
Al (0.4378, 0.4378, 0.1893)  6 Al 2.81-2.86

Output
* ΔH_f (0 K): -396 kJ/mol of formula units
* M_tot: 0.00 μB/atom
* ΔE to the lowest computed polymorph: 0.00 kJ per mole of atoms

***

Record 3
VASP calculation (GGA-PBE) on CaTh3Al8 after structural relaxation.

abc: 5.6982 5.6982 9.8138
angles: 73.12 73.12 60.00
Closest atoms and distances in Å follow each position.
Element x y z (fractional)
Th (0.3744, 0.3744, 0.8769)  12 Al 3.30-3.34, 4 Th 3.49-3.54
Al (0.4369, 0.9372, 0.6887)  6 Al 2.84-2.85
Ca (0.8746, 0.8746, 0.3763)  12 Al 3.32-3.35, 4 Th 3.45-3.47
Al (0.9380, 0.4380, 0.1860)  6 Al 2.82-2.85
Al (0.4380, 0.9380, 0.1860)  6 Al 2.82-2.85
Th (0.9989, 0.9989, 0.0032)  12 Al 3.31-3.34, 1 Ca 3.45, 3 Th 3.49
Th (0.5018, 0.5018, 0.4945)  12 Al 3.29-3.37, 3 Ca 3.47, 1 Th 3.54
Al (0.6872, 0.6872, 0.9384)  6 Al 2.82-2.84
Al (0.1878, 0.1878, 0.4367)  6 Al 2.84-2.85
Al (0.9372, 0.9372, 0.6887)  6 Al 2.84-2.85
Al (0.9372, 0.4369, 0.6887)  6 Al 2.84-2.85
Al (0.4380, 0.4380, 0.1860)  6 Al 2.82-2.85

Output
* ΔH_f (0 K): -450 kJ/mol of formula units
* M_tot: 0.00 μB/atom

***

Record 4
VASP calculation (GGA-PBE) on CaTiAl2 after structural relaxation.

abc: 3.0403 3.0403 8.5536
angles: 90.00 90.00 90.00
Closest atoms and distances in Å follow each position.
Element x y z (fractional)
Ti (0.5000, 0.5000, 0.0000)  8 Al 2.84, 4 Ti 3.04
Ca (0.5000, 0.5000, 0.5000)  4 Ca 3.04, 8 Al 3.23
Al (0.0000, 0.0000, 0.7824)  4 Ti 2.84, 4 Al 3.04
Al (0.0000, 0.0000, 0.2176)  4 Ti 2.84, 4 Al 3.04

Output
* ΔH_f (0 K): -85 kJ/mol of formula units
* M_tot: 0.00 μB/atom
* ΔE to the lowest computed polymorph: 0.00 kJ per mole of atoms

***

Record 5
VASP calculation (GGA-PBE) on CaTi3Al after structural relaxation.

abc: 4.6491 4.6491 4.6491
angles: 90.00 90.00 90.00
Closest atoms and distances in Å follow each position.
Element x y z (fractional)
Ti (0.5000, 0.0000, 0.0000)  2 Ca 2.32
Al (0.5000, 0.5000, 0.5000)  12 Ti 3.29
Ca (0.0000, 0.0000, 0.0000)  6 Ti 2.32
Ti (0.0000, 0.5000, 0.0000)  2 Ca 2.32
Ti (0.0000, 0.0000, 0.5000)  2 Ca 2.32

Output
* ΔH_f (0 K): 772 kJ/mol of formula units
* M_tot: 0.53 μB/atom
* ΔE to the lowest computed polymorph: 87.78 kJ per mole of atoms

***

Record 6
VASP calculation (GGA-PBE) on CaTiAl4 after structural relaxation.

abc: 5.4091 5.4091 5.4091
angles: 60.00 60.00 60.00
Closest atoms and distances in Å follow each position.
Element x y z (fractional)
Al (0.6255, 0.6255, 0.6255)  6 Al 2.69-2.72
Al (0.1235, 0.6255, 0.6255)  6 Al 2.69-2.72
Ti (0.0000, 0.0000, 0.0000)  12 Al 3.17, 4 Ca 3.31
Al (0.6255, 0.6255, 0.1235)  6 Al 2.69-2.72
Al (0.6255, 0.1235, 0.6255)  6 Al 2.69-2.72
Ca (0.2500, 0.2500, 0.2500)  12 Al 3.17, 4 Ti 3.31

Output
* ΔH_f (0 K): -133 kJ/mol of formula units
* M_tot: 0.25 μB/atom

***

Record 7
VASP calculation (GGA-PBE) on CaTi3Al after structural relaxation.

abc: 4.9154 4.9154 4.9154
angles: 90.00 90.00 90.00
Closest atoms and distances in Å follow each position.
Element x y z (fractional)
Al (0.0000, 0.0000, 0.0000)  6 Ti 2.46
Ca (0.5000, 0.5000, 0.5000)  12 Ti 3.48
Ti (0.5000, 0.0000, 0.0000)  2 Al 2.46
Ti (0.0000, 0.5000, 0.0000)  2 Al 2.46
Ti (0.0000, 0.0000, 0.5000)  2 Al 2.46

Output
* ΔH_f (0 K): 333 kJ/mol of formula units
* M_tot: 0.32 μB/atom
* ΔE to the lowest computed polymorph: 0.00 kJ per mole of atoms

***

Record 8
VASP calculation (GGA-PBE) on CaTiAl2 after structural relaxation.

abc: 4.8166 4.8166 4.8166
angles: 60.00 60.00 60.00
Closest atoms and distances in Å follow each position.
Element x y z (fractional)
Al (0.7500, 0.7500, 0.7500)  4 Ca 2.95, 4 Ti 2.95
Al (0.2500, 0.2500, 0.2500)  4 Ca 2.95, 4 Ti 2.95
Ca (0.0000, 0.0000, 0.0000)  8 Al 2.95
Ti (0.5000, 0.5000, 0.5000)  8 Al 2.95

Output
* ΔH_f (0 K): -19 kJ/mol of formula units
* M_tot: 0.00 μB/atom
* ΔE to the lowest computed polymorph: 16.61 kJ per mole of atoms

***

Record 9
VASP calculation (GGA-PBE) on Ca2TiAl after structural relaxation.

abc: 8.4750 8.4750 6.7268
angles: 50.95 50.95 90.00
Closest atoms and distances in Å follow each position.
Element x y z (fractional)
Al (0.2500, 0.7500, 0.5000)  4 Ca 3.00, 2 Ti 3.06
Ca (0.1419, 0.6250, 0.2500)  2 Al 3.00, 2 Ca 3.07, 2 Ti 3.19
Ti (0.7500, 0.2500, 0.5000)  2 Al 3.06, 4 Ca 3.19
Ti (0.0000, 0.0000, 0.0000)  2 Al 3.06, 4 Ca 3.19
Ca (0.3750, 0.3919, 0.7500)  2 Al 3.00, 2 Ca 3.07, 2 Ti 3.19
Ca (0.6081, 0.1250, 0.2500)  2 Al 3.00, 2 Ca 3.07, 2 Ti 3.19
Ca (0.8750, 0.8581, 0.7500)  2 Al 3.00, 2 Ca 3.07, 2 Ti 3.19
Al (0.5000, 0.5000, 0.0000)  4 Ca 3.00, 2 Ti 3.06

Output
* ΔH_f (0 K): 202 kJ/mol of formula units
* M_tot: 0.75 μB/atom

***

Record 10
VASP calculation (GGA-PBE) on CaTiAl2 after structural relaxation.

abc: 4.6255 4.6255 10.2090
angles: 76.91 76.91 90.00
Closest atoms and distances in Å follow each position.
Element x y z (fractional)
Al (0.8750, 0.9907, 0.7500)  2 Al 2.63, 2 Ti 2.75
Ti (0.7500, 0.2500, 0.5000)  4 Al 2.75
Al (0.0093, 0.6250, 0.2500)  2 Al 2.63, 2 Ti 2.75
Al (0.3750, 0.2593, 0.7500)  2 Al 2.63, 2 Ti 2.75
Al (0.7407, 0.1250, 0.2500)  2 Al 2.63, 2 Ti 2.75
Ca (0.2500, 0.7500, 0.5000)  4 Al 3.17, 4 Ti 3.27
Ca (0.5000, 0.5000, 0.0000)  4 Al 3.17, 4 Ti 3.27
Ti (0.0000, 0.0000, 0.0000)  4 Al 2.75

Output
* ΔH_f (0 K): 163 kJ/mol of formula units
* M_tot: 0.44 μB/atom
* ΔE to the lowest computed polymorph: 62.12 kJ per mole of atoms

***

Record 11
VASP calculation (GGA-PBE) on CaYTi2Al after structural relaxation.

abc: 5.0191 5.4159 5.0191
angles: 90.00 90.00 90.00
Closest atoms and distances in Å follow each position.
Element x y z (fractional)
Ca (0.0000, 0.5000, 0.0000)  2 Al 2.71
Y (0.5000, 0.5000, 0.5000)  4 Ca 3.55, 8 Ti 3.69
Ti (0.0000, 0.0000, 0.5000)  2 Al 2.51
Al (0.0000, 0.0000, 0.0000)  4 Ti 2.51, 2 Ca 2.71
Ti (0.5000, 0.0000, 0.0000)  2 Al 2.51

Output
* ΔH_f (0 K): 300 kJ/mol of formula units
* M_tot: 0.79 μB/atom

***

Record 12
VASP calculation (GGA-PBE) on CaZrTi2Al after structural relaxation.

abc: 4.8631 4.8631 5.5633
angles: 90.00 90.00 90.00
Closest atoms and distances in Å follow each position.
Element x y z (fractional)
Ti (0.5000, 0.0000, 0.0000)  2 Zr 2.43
Ti (0.0000, 0.5000, 0.0000)  2 Zr 2.43
Al (0.5000, 0.5000, 0.5000)  4 Ca 3.44, 8 Ti 3.69
Ca (0.0000, 0.0000, 0.5000)  2 Zr 2.78
Zr (0.0000, 0.0000, 0.0000)  4 Ti 2.43

Output
* ΔH_f (0 K): 546 kJ/mol of formula units
* M_tot: 0.06 μB/atom

***

no.,D(E_F) (states/eV per atom)
1,0.70
2,0.54
3,0.65
4,0.67
5,1.16
6,0.45
7,2.09
8,0.28
9,0.55
10,1.25
11,1.12
12,1.46